The following is a DFT calculation (PBE) of crystalline Ac2Cd2Sn at its relaxed geometry.

Calculated values
- distance to the lowest polymorph of the same formula (meV per atom) = 143
- density (g/cm3) = 7.81
- space group = I4/mmm (139)
- uncorrected energy (eV/atom) = -3.0908

Cell and atoms, written as POSCAR:
```
Ac2Cd2Sn
1.0
4.1195 0.0000 0.0000
0.0000 4.1195 0.0000
-2.0598 -2.0598 9.9885
Cd Ac Sn
2 2 1
Direct
0.2500 0.7500 0.5000 Cd
0.7500 0.2500 0.5000 Cd
0.6006 0.6006 0.2011 Ac
0.3994 0.3994 0.7989 Ac
0.0000 0.0000 0.0000 Sn
```